Record 1
Density functional theory data (PBE) for a geometry-optimized YH2C2O6 structure.

Output
Uncorrected energy: -7.389 eV per atom

a = 15.1685 Å, b = 7.8526 Å, c = 9.6322 Å
α = 90.00°, β = 90.00°, γ = 90.00°
Last column: nearest neighbours and their distance in Å.
Space group Cmcm (No. 63)
Unique sites:
Y: 0.2074 0.0000 0.0000  9 O 2.36-2.48
H: 0.1006 0.3952 0.0037  1 O 0.99
C: 0.0000 0.0986 0.0058  2 O 1.27
C: 0.2251 0.1929 0.7500  3 O 1.29-1.31
O: 0.0745 0.1710 0.0100  1 C 1.27
O: 0.1368 0.5000 0.0000  2 H 0.99
O: 0.1799 0.0513 0.7500  1 C 1.31
O: 0.2473 0.2543 0.6312  1 C 1.29



Record 2
Density functional theory data (PBE) for a geometry-optimized YH7C4O11 structure.

Output
Uncorrected energy: -6.666 eV per atom

a = 8.8174 Å, b = 8.8174 Å, c = 12.7820 Å
α = 90.00°, β = 90.00°, γ = 90.00°
Last column: nearest neighbours and their distance in Å.
Space group P4_2/n (No. 86, origin choice 2)
Unique sites:
Y: 0.2500 0.7500 0.2101  9 O 2.36-2.47
H: 0.0546 0.2610 0.0786  1 O 1.00
H: 0.0706 0.1793 0.9629  1 O 1.01
H: 0.1607 0.7433 0.4736  1 O 0.98
H: 0.2500 0.2500 0.0275  2 O 1.21
C: 0.0237 0.4538 0.6961  2 O 1.26-1.27
C: 0.0243 0.4675 0.2011  2 O 1.26-1.27
O: 0.0135 0.8657 0.1470  1 C 1.27
O: 0.0301 0.8736 0.6475  1 C 1.26
O: 0.0418 0.6568 0.8213  1 C 1.27
O: 0.0502 0.6623 0.3309  1 C 1.26
O: 0.1225 0.2000 0.0318  2 H 1.00-1.01
O: 0.2500 0.7500 0.0188  2 H 0.98



Record 3
Density functional theory data (PBE) for a geometry-optimized Y6HC2O3 structure.

Output
Uncorrected energy: -7.989 eV per atom

a = 6.0766 Å, b = 10.5321 Å, c = 6.0813 Å
α = 90.00°, β = 109.52°, γ = 90.00°
Last column: nearest neighbours and their distance in Å.
Space group C2/m (No. 12)
Unique sites:
Y: 0.2336 0.0000 0.2546  3 O 2.38-2.54, 2 C 2.45, 1 H 2.59
Y: 0.2407 0.1753 0.7492  3 O 2.36-2.53, 2 C 2.44-2.45, 1 H 2.57
H: 0.0000 0.5000 0.0000  6 Y 2.57-2.59
C: 0.0000 0.1659 0.0000  6 Y 2.44-2.45
O: 0.0000 0.0000 0.5000  6 Y 2.38-2.52
O: 0.0000 0.3294 0.5000  6 Y 2.36-2.54



Record 4
Density functional theory data (PBE) for a geometry-optimized Y6H3C2O structure.

Output
Uncorrected energy: -6.868 eV per atom

a = 6.1599 Å, b = 10.6925 Å, c = 6.0638 Å
α = 90.00°, β = 109.75°, γ = 90.00°
Last column: nearest neighbours and their distance in Å.
Space group C2/m (No. 12)
Unique sites:
Y: 0.2437 0.0000 0.2316  1 O 2.44, 2 C 2.44, 3 H 2.56-2.61
Y: 0.2442 0.3331 0.2329  2 C 2.45, 1 O 2.45, 3 H 2.51-2.56
H: 0.0000 0.0000 0.5000  6 Y 2.56
H: 0.0000 0.3269 0.5000  6 Y 2.51-2.61
C: 0.0000 0.1665 0.0000  6 Y 2.44-2.45
O: 0.0000 0.5000 0.0000  6 Y 2.44-2.45